# 1
TcPtSN2 (PBE-GGA, optimized geometry); symmetry = P4/mmm (123); electronic total energy = -6.02 eV per atom
1.0
3.682 0.000 0.000
0.000 3.682 0.000
0.000 0.000 8.043
Tc Pt S N
1 1 1 2
Cartesian
0.000 0.000 0.000 Tc
1.841 1.841 4.022 Pt
1.841 1.841 0.000 S
0.000 1.841 4.022 N
1.841 0.000 4.022 N

---

# 2
TcPtS2N (PBE-GGA, optimized geometry); symmetry = P4/mmm (123); electronic total energy = -5.94 eV per atom
1.0
4.738 0.000 0.000
0.000 4.738 0.000
0.000 0.000 3.658
Tc Pt S N
1 1 2 1
Cartesian
0.000 0.000 0.000 Tc
2.369 2.369 1.829 Pt
0.000 2.369 0.000 S
2.369 0.000 0.000 S
0.000 0.000 1.829 N

---

no.,polymorph energy (0 for the lowest one) (meV/atom),E_form (uncorrected) (eV per atom)
1,582,1.42
2,0,0.66